Record 1
VASP calculation (PBE) on a relaxed ZnSn crystal.

Geometry as extended XYZ:
```
4
Lattice="-0.2628 2.1814 4.8705 -3.1885 0.8535 -0.5543 -1.5028 -4.3895 1.8849" Properties=species:S:1:pos:R:3 pbc="T T T"
Zn -2.5642 0.0459 4.7152
Sn -1.7368 1.6096 2.3637
Sn -0.8279 -1.5597 2.3603
Zn -0.0005 0.0040 0.0089
```

Computed properties:
Its total energy is -2.476 eV per atom.



Record 2
VASP calculation (PBE) on a relaxed ZnSn crystal.

Geometry as extended XYZ:
```
16
Lattice="-3.4084 -2.6268 3.7230 9.6751 -6.6615 4.1574 0.9644 3.4874 3.3436" Properties=species:S:1:pos:R:3 pbc="T T T"
Sn 1.8251 -1.6056 1.1483
Sn 1.6802 -3.9994 3.6868
Sn 6.3514 -6.0862 8.1457
Zn -0.6215 -2.2876 2.5653
Zn 3.8756 -4.5086 7.2143
Sn 6.4871 -3.6995 5.6171
Zn 4.1559 -5.5769 4.6182
Sn 0.8170 -3.2926 6.8282
Zn 3.7260 -2.6545 5.3236
Sn 4.9529 -3.7592 2.4923
Zn 1.5276 -1.1409 4.3790
Zn -1.0220 -1.1365 5.1098
Sn -0.0601 0.8083 2.8038
Sn 7.2147 -6.7930 5.0042
Zn 6.5040 -8.9447 7.4536
Zn 4.3055 -7.4310 6.5089
```

Computed properties:
Its total energy is -2.516 eV per atom.



Record 3
VASP calculation (PBE) on a relaxed ZnSn2 crystal.

Geometry as extended XYZ:
```
6
Lattice="4.6923 6.2947 2.6131 7.5517 -1.4578 3.0524 6.7046 2.2288 -4.3071" Properties=species:S:1:pos:R:3 pbc="T T T"
Zn 4.7372 1.7664 0.3396
Sn 10.4580 3.7641 -1.6442
Sn 7.1057 2.6497 0.5094
Zn 9.4743 3.5329 0.6792
Sn 10.8816 1.9208 2.0356
Sn 9.4519 5.7970 1.8159
```

Computed properties:
Its total energy is -2.104 eV per atom.



Record 4
VASP calculation (PBE) on a relaxed ZnSn crystal.

Geometry as extended XYZ:
```
24
Lattice="16.3537 0.0007 0.0000 0.0003 6.5008 0.0000 0.0000 0.0000 5.0067" Properties=species:S:1:pos:R:3 pbc="T T T"
Sn 0.3285 5.0712 2.5034
Zn 12.5808 3.3285 2.5034
Sn 0.3669 2.8127 0.0000
Sn 8.5056 6.3051 2.5034
Sn 2.4345 5.2852 0.0000
Zn 1.7558 0.9546 2.5034
Zn 12.8030 1.4384 0.0000
Zn 10.8190 1.4363 2.5034
Sn 13.0120 6.0916 2.5034
Zn 4.4041 1.5471 2.5034
Sn 6.9015 2.8113 2.5034
Zn 11.0410 3.3289 0.0000
Zn 5.5121 0.9548 0.0000
Sn 15.1170 6.3066 0.0000
Sn 4.8345 5.2849 2.5034
Zn 9.9325 3.9210 2.5034
Sn 10.6118 6.0925 0.0000
Sn 15.0788 2.0646 2.5034
Sn 6.9398 5.0710 0.0000
Zn 2.6425 3.4393 2.5034
Zn 13.6884 3.9222 0.0000
Zn 4.6263 3.4385 0.0000
Zn 2.8647 1.5476 0.0000
Sn 8.5436 2.0638 0.0000
```

Computed properties:
Its total energy is -2.526 eV per atom.